# 1
Compound: Te2MoS2Br
Source: OQMD via LeMat-Bulk
Functional: PBE
Structure: optimized geometry

Computed properties:
The calculation puts the total energy at -0.181 hartree per atom. As for the excess energy over the best structure of this formula in the dataset: 0 meV/atom. For the magnetic moment, the calculation gives 0.002 μB per formula unit. Its calculated volume is 347 Å³/cell. Its symmetry is P-1, No. 2.

```
Te2MoS2Br
1.0
6.442 0.000 0.000
-1.439 7.640 0.000
-1.771 -3.273 7.054
Te Mo S Br
4 2 4 2
direct
0.115 0.133 0.311
0.379 0.666 0.833
0.621 0.334 0.167
0.885 0.867 0.689
0.278 0.000 0.000
0.722 0.000 0.000
0.024 0.194 0.927
0.476 0.119 0.817
0.524 0.881 0.183
0.976 0.806 0.073
0.250 0.581 0.433
0.750 0.419 0.567
```


# 2
Compound: Te3MoSBr
Source: OQMD via LeMat-Bulk
Functional: PBE
Structure: optimized geometry

Computed properties:
The calculation puts the total energy at -0.172 hartree per atom. As for the excess energy over the best structure of this formula in the dataset: 0 meV/atom. For the magnetic moment, the calculation gives 0.001 μB per formula unit. Its calculated volume is 377 Å³/cell. Its symmetry is P-1, No. 2.

```
Te3MoSBr
1.0
6.686 0.000 0.000
-1.829 7.757 0.000
-1.506 -3.711 7.277
Te Mo S Br
6 2 2 2
direct
0.034 0.436 0.229
0.116 0.815 0.132
0.380 0.321 0.682
0.620 0.679 0.318
0.884 0.185 0.868
0.966 0.564 0.771
0.285 0.500 0.000
0.715 0.500 0.000
0.473 0.317 0.107
0.527 0.683 0.893
0.247 0.918 0.583
0.753 0.082 0.417
```


# 3
Compound: Te2MoS2Br
Source: OQMD via LeMat-Bulk
Functional: PBE
Structure: optimized geometry

Computed properties:
The calculation puts the total energy at -0.178 hartree per atom. As for the excess energy over the best structure of this formula in the dataset: 68 meV/atom. For the magnetic moment, the calculation gives 0.003 μB per formula unit. Its calculated volume is 345 Å³/cell. Its symmetry is P-1, No. 2.

```
Te2MoS2Br
1.0
6.594 0.000 0.000
-1.760 7.580 0.000
-1.571 -3.963 6.895
Te Mo S Br
4 2 4 2
direct
0.033 0.423 0.224
0.128 0.830 0.170
0.872 0.170 0.830
0.967 0.577 0.776
0.288 0.500 0.000
0.712 0.500 0.000
0.395 0.360 0.713
0.478 0.320 0.115
0.522 0.680 0.885
0.605 0.640 0.287
0.251 0.911 0.601
0.749 0.089 0.399
```


# 4
Compound: Te3MoSBr
Source: OQMD via LeMat-Bulk
Functional: PBE
Structure: optimized geometry

Computed properties:
The calculation puts the total energy at -0.171 hartree per atom. As for the excess energy over the best structure of this formula in the dataset: 24 meV/atom. For the magnetic moment, the calculation gives 0.002 μB per formula unit. Its calculated volume is 394 Å³/cell. Its symmetry is P-1, No. 2.

```
Te3MoSBr
1.0
6.770 0.000 0.000
-1.477 8.015 0.000
-3.342 -2.359 7.263
Te Mo S Br
6 2 2 2
direct
0.094 0.277 0.066
0.166 0.081 0.300
0.335 0.719 0.787
0.665 0.281 0.213
0.834 0.919 0.700
0.906 0.723 0.934
0.287 0.999 0.000
0.713 0.001 0.000
0.471 0.174 0.865
0.529 0.826 0.135
0.151 0.724 0.415
0.849 0.276 0.585
```


# 5
Compound: Te2MoS2Br
Source: OQMD via LeMat-Bulk
Functional: PBE
Structure: optimized geometry

Computed properties:
The calculation puts the total energy at -0.178 hartree per atom. As for the excess energy over the best structure of this formula in the dataset: 79 meV/atom. For the magnetic moment, the calculation gives 0.001 μB per formula unit. Its calculated volume is 351 Å³/cell. Its symmetry is P-1, No. 2.

```
Te2MoS2Br
1.0
6.467 0.000 0.000
-1.383 7.871 0.000
-1.840 -3.716 6.900
Te Mo S Br
4 2 4 2
direct
0.040 0.385 0.223
0.127 0.832 0.194
0.873 0.168 0.806
0.960 0.615 0.777
0.231 0.500 0.999
0.769 0.500 0.001
0.405 0.402 0.733
0.479 0.313 0.071
0.521 0.687 0.929
0.595 0.598 0.267
0.257 0.904 0.586
0.743 0.096 0.414
```


# 6
Compound: MoSeBr3
Source: OQMD via LeMat-Bulk
Functional: PBE
Structure: optimized geometry

Computed properties:
The calculation puts the total energy at -0.160 hartree per atom. For the magnetic moment, the calculation gives 1.009 μB per formula unit. Its calculated volume is 576 Å³/cell. Its symmetry is P2/c, No. 13.

```
MoSeBr3
1.0
6.638 0.000 0.000
0.000 6.956 0.000
-2.145 0.000 12.472
Mo Se Br
4 4 12
direct
0.064 0.120 0.151
0.064 0.880 0.651
0.936 0.120 0.349
0.936 0.880 0.849
0.168 0.382 0.295
0.168 0.618 0.795
0.832 0.382 0.205
0.832 0.618 0.705
0.150 0.190 0.542
0.150 0.810 0.042
0.253 0.080 0.808
0.253 0.920 0.308
0.361 0.282 0.078
0.361 0.718 0.578
0.639 0.282 0.422
0.639 0.718 0.922
0.747 0.080 0.692
0.747 0.920 0.192
0.850 0.190 0.958
0.850 0.810 0.458
```


# 7
Compound: MoSe2Br2
Source: OQMD via LeMat-Bulk
Functional: PBE
Structure: optimized geometry

Computed properties:
The calculation puts the total energy at -0.168 hartree per atom. For the magnetic moment, the calculation gives 0.042 μB per formula unit. Its calculated volume is 261 Å³/cell. Its symmetry is P-1, No. 2.

```
MoSe2Br2
1.0
6.583 0.000 0.000
3.147 5.897 0.000
2.438 1.860 6.722
Mo Se Br
2 4 4
direct
0.108 0.254 0.011
0.892 0.746 0.989
0.097 0.580 0.690
0.274 0.456 0.130
0.726 0.544 0.870
0.903 0.420 0.310
0.169 0.989 0.780
0.397 0.864 0.223
0.603 0.136 0.777
0.831 0.011 0.220
```


# 8
Compound: Te2MoSe2Br
Source: OQMD via LeMat-Bulk
Functional: PBE
Structure: optimized geometry

Computed properties:
The calculation puts the total energy at -0.169 hartree per atom. As for the excess energy over the best structure of this formula in the dataset: 69 meV/atom. For the magnetic moment, the calculation gives 0.002 μB per formula unit. Its calculated volume is 366 Å³/cell. Its symmetry is P-1, No. 2.

```
Te2MoSe2Br
1.0
6.719 0.000 0.000
-3.322 7.411 0.000
-1.167 -3.570 7.352
Te Mo Se Br
4 2 4 2
direct
0.050 0.008 0.262
0.360 0.822 0.686
0.640 0.178 0.314
0.950 0.992 0.738
0.280 0.999 0.999
0.720 0.001 0.001
0.173 0.291 0.163
0.413 0.787 0.107
0.587 0.213 0.893
0.827 0.709 0.837
0.155 0.396 0.739
0.845 0.604 0.261
```


# 9
Compound: Te2MoSe2Br
Source: OQMD via LeMat-Bulk
Functional: PBE
Structure: optimized geometry

Computed properties:
The calculation puts the total energy at -0.169 hartree per atom. As for the excess energy over the best structure of this formula in the dataset: 51 meV/atom. For the magnetic moment, the calculation gives 0.003 μB per formula unit. Its calculated volume is 367 Å³/cell. Its symmetry is P-1, No. 2.

```
Te2MoSe2Br
1.0
6.632 0.000 0.000
-1.094 8.106 0.000
-2.227 -4.414 6.820
Te Mo Se Br
4 2 4 2
direct
0.036 0.351 0.176
0.134 0.832 0.237
0.866 0.168 0.763
0.964 0.649 0.824
0.226 0.500 0.999
0.774 0.500 0.001
0.392 0.409 0.718
0.464 0.266 0.010
0.536 0.734 0.990
0.608 0.591 0.282
0.270 0.866 0.617
0.730 0.134 0.383
```


# 10
Compound: Te3MoSeBr
Source: OQMD via LeMat-Bulk
Functional: PBE
Structure: optimized geometry

Computed properties:
The calculation puts the total energy at -0.167 hartree per atom. As for the excess energy over the best structure of this formula in the dataset: 0 meV/atom. For the magnetic moment, the calculation gives 0.003 μB per formula unit. Its calculated volume is 387 Å³/cell. Its symmetry is P-1, No. 2.

```
Te3MoSeBr
1.0
6.747 0.000 0.000
-1.282 8.179 0.000
-2.104 -4.131 7.012
Te Mo Se Br
6 2 2 2
direct
0.046 0.255 0.491
0.115 0.105 0.807
0.370 0.678 0.279
0.630 0.322 0.721
0.885 0.895 0.193
0.954 0.745 0.509
0.283 0.000 0.500
0.717 0.000 0.500
0.476 0.142 0.341
0.524 0.858 0.659
0.243 0.631 0.904
0.757 0.369 0.096
```